V2IrF: relaxed, GGA+U.

The structure belongs to space group I-42d (No. 122); the cell edges are 6.179, 6.179 and 6.579 Å and the angles 90.00°, 90.00° and 90.00°. The inequivalent atoms are V at (0.198, 0.250, 0.125), Ir at (0.000, 0.000, 0.500) and F at (0.000, 0.000, 0.000).

For the uncorrected energy, the calculation gives -6.48 eV per atom. The value obtained for the theoretical density is 8280 kg/m³. The density of states at the Fermi level comes out at 0.640 states/eV per atom.